<w>
DFT (PBE) results for NdHoGe after structural relaxation.

**Density**: 7.33 g/cm3

Cell: 4.965 4.965 4.965 Å, 60.00 60.00 60.00°
Fractional coordinates of all 3 atoms:
Nd 0.000 0.000 0.000
Ho 0.500 0.500 0.500
Ge 0.750 0.750 0.750

=====

<x>
DFT (PBE) results for NdHoGe after structural relaxation.

**Density**: 8.29 g/cm3

Cell: 5.690 5.690 5.690 Å, 139.66 139.66 58.38°
Fractional coordinates of all 3 atoms:
Nd 0.000 0.000 0.000
Ho 0.704 0.704 0.000
Ge 0.335 0.335 0.000

=====

<y>
DFT (PBE) results for NdHoGe after structural relaxation.

**Density**: 6.72 g/cm3

Cell: 6.950 6.950 6.950 Å, 130.69 130.69 72.30°
Fractional coordinates of all 6 atoms:
Nd 0.000 0.000 0.000
Nd 0.750 0.250 0.500
Ho 0.266 0.766 0.500
Ho 0.516 0.516 0.000
Ge 0.014 0.514 0.500
Ge 0.264 0.264 0.000

=====

<w> is favored, and the nearest alternative lies 120 meV/atom above it.

=====

<w>
DFT (PBE) results for NdHoGe after structural relaxation.

**Density**: 6.89 g/cm3

Cell: 4.305 4.305 11.471 Å, 90.00 90.00 120.00°
Fractional coordinates of all 6 atoms:
Nd 0.000 0.000 0.229
Nd 0.000 0.000 0.771
Ho 0.333 0.667 0.000
Ho 0.667 0.333 0.500
Ge 0.333 0.667 0.361
Ge 0.333 0.667 0.639

=====

<x>
DFT (PBE) results for NdHoGe after structural relaxation.

**Density**: 7.56 g/cm3

Cell: 4.760 4.760 4.275 Å, 90.00 90.00 120.00°
Fractional coordinates of all 3 atoms:
Nd 0.000 0.000 0.000
Ho 0.333 0.667 0.476
Ge 0.667 0.333 0.614

=====

<x> is favored, and the nearest alternative lies 30 meV/atom above it.

=====

<w>
DFT (PBE) results for Nd2HoGe2 after structural relaxation.

**Density**: 7.42 g/cm3

Cell: 6.633 6.633 10.812 Å, 115.02 115.02 39.06°
Fractional coordinates of all 10 atoms:
Nd 0.016 0.016 0.187
Nd 0.179 0.179 0.589
Nd 0.821 0.821 0.411
Nd 0.984 0.984 0.813
Ho 0.278 0.278 0.136
Ho 0.722 0.722 0.864
Ge 0.383 0.383 0.939
Ge 0.483 0.483 0.609
Ge 0.517 0.517 0.391
Ge 0.617 0.617 0.061

=====

<x>
DFT (PBE) results for Nd2HoGe2 after structural relaxation.

**Density**: 7.59 g/cm3

Cell: 7.701 7.701 4.418 Å, 90.00 90.00 90.00°
Fractional coordinates of all 10 atoms:
Nd 0.175 0.325 0.000
Nd 0.325 0.825 0.000
Nd 0.675 0.175 0.000
Nd 0.825 0.675 0.000
Ho 0.000 0.000 0.500
Ho 0.500 0.500 0.500
Ge 0.123 0.623 0.500
Ge 0.377 0.123 0.500
Ge 0.623 0.877 0.500
Ge 0.877 0.377 0.500

=====

<x> is favored, and the nearest alternative lies 69 meV/atom above it.

=====

<w>
DFT (PBE) results for Nd2HoGe after structural relaxation.

**Density**: 6.72 g/cm3

Cell: 11.255 11.255 11.255 Å, 18.85 18.85 18.85°
Fractional coordinates of all 4 atoms:
Nd 0.104 0.104 0.104
Nd 0.896 0.896 0.896
Ho 0.000 0.000 0.000
Ge 0.500 0.500 0.500

=====

<x>
DFT (PBE) results for Nd2HoGe after structural relaxation.

**Density**: 8.07 g/cm3

Cell: 4.743 4.743 4.814 Å, 90.00 90.00 90.00°
Fractional coordinates of all 4 atoms:
Nd 0.000 0.500 0.000
Nd 0.500 0.000 0.000
Ho 0.000 0.000 0.500
Ge 0.500 0.500 0.500

=====

<x> is favored, and the nearest alternative lies 335 meV/atom above it.